Entry 1:
VASP calculation (meta-GGA SCAN) on AsPRuCl2 at its PBEsol-relaxed geometry.

abc: 4.598 4.598 4.587
angles: 90.00 90.00 90.00
Space group P4/mmm (No. 123)
Asymmetric unit:
As1 0.000 0.000 0.000 x1
P1 0.500 0.500 0.000 x1
Ru1 0.500 0.500 0.500 x1
Cl1 0.000 0.500 0.500 x2

Output
N(E_F): 0.473 states/eV per atom
electronic total energy: -79.002 eV for the cell shown
spin magnetization: 0.0 μB per formula unit


Entry 2:
VASP calculation (meta-GGA SCAN) on Ga2SiSe at its PBEsol-relaxed geometry.

abc: 5.658 5.658 11.447
angles: 90.00 90.00 90.00
Space group I-42d (No. 122)
Asymmetric unit:
Ga1 0.225 0.250 0.125 x8
Si1 0.000 0.000 0.000 x4
Se1 0.000 0.000 0.500 x4

Output
spin magnetization: 0.0 μB per formula unit
energy above the most stable polymorph in this dataset: 0 meV/atom


Look up the spin magnetization of the first one.
0.0 μB per formula unit


What is the spin magnetization in the first record?
0.0 μB per formula unit


spin magnetization of number 2 (Ga2SiSe)?
0.0 μB per formula unit